Entry 1:
A plane-wave DFT calculation with GGA-PBE was carried out for a relaxed Cu2PdPb2 crystal.

Structure (POSCAR):
```
Cu2PdPb2
1.0
-2.358 -1.885 -6.247
1.013 -6.668 1.630
-3.742 -0.208 1.475
Cu Pd Pb
4 2 4
Cartesian
0.004 -6.528 -0.910
-1.349 -2.025 -3.708
-1.425 -5.824 -4.436
0.080 -2.729 -0.182
0.000 0.000 0.000
-0.673 -4.277 -2.309
-3.482 -3.793 -3.868
-2.640 -6.859 -2.166
-1.605 -4.969 0.726
-2.447 -1.903 -0.976
```

***

Entry 2:
A plane-wave DFT calculation with GGA-PBE was carried out for a relaxed Cu2PdPb crystal.

Structure (POSCAR):
```
Cu2PdPb
1.0
7.287 0.000 0.000
0.000 7.287 0.000
3.643 3.643 2.688
Cu Pb Pd
4 2 2
Cartesian
9.109 8.978 2.016
1.953 5.465 0.672
5.334 1.822 0.672
5.465 5.596 2.016
7.287 3.643 1.344
0.000 0.000 0.000
3.643 3.643 0.000
3.643 7.287 1.344
```

***

Entry 3:
A plane-wave DFT calculation with GGA-PBE was carried out for a relaxed Cu5Pd6Pb crystal.

Structure (POSCAR):
```
Cu5Pd6Pb
1.0
4.006 -0.003 -1.123
-2.934 6.207 -2.779
-0.089 -0.455 7.392
Cu Pd Pb
5 6 1
Cartesian
-0.449 5.077 -1.618
-2.002 4.025 0.552
-1.020 1.727 4.061
0.492 2.874 1.745
1.432 0.672 5.109
-1.287 4.188 3.103
0.739 0.364 2.635
1.211 3.122 4.309
-0.227 2.627 -0.819
2.270 1.561 0.388
0.244 5.384 0.855
0.000 0.000 0.000
```

***

Entry 4:
A plane-wave DFT calculation with GGA-PBE was carried out for a relaxed CuPd15Pb4 crystal.

Structure (POSCAR):
```
CuPd15Pb4
1.0
4.097 0.000 0.000
0.000 4.097 0.000
0.000 0.000 20.159
Pd Cu Pb
15 1 4
Cartesian
2.048 0.000 14.220
2.048 2.048 16.259
0.000 2.048 1.811
0.000 2.048 18.349
0.000 2.048 14.220
2.048 2.048 0.000
2.048 0.000 18.349
2.048 2.048 8.013
2.048 0.000 10.080
2.048 2.048 3.901
0.000 2.048 10.080
2.048 0.000 5.939
0.000 2.048 5.939
2.048 0.000 1.811
2.048 2.048 12.147
0.000 0.000 0.000
0.000 0.000 12.158
0.000 0.000 8.002
0.000 0.000 16.319
0.000 0.000 3.840
```

***

Entry 5:
A plane-wave DFT calculation with GGA-PBE was carried out for a relaxed CuPdPb2 crystal.

Structure (POSCAR):
```
CuPdPb2
1.0
3.487 0.000 0.000
0.000 3.487 0.000
0.000 0.000 6.942
Pd Pb Cu
1 2 1
Cartesian
1.744 1.744 0.000
0.000 0.000 1.733
0.000 0.000 5.209
1.744 1.744 3.471
```

***

Entry 6:
A plane-wave DFT calculation with GGA-PBE was carried out for a relaxed Cu3Pd4Pb crystal.

Structure (POSCAR):
```
Cu3Pd4Pb
1.0
4.152 0.000 0.000
0.000 7.047 0.000
0.000 0.000 8.305
Pd Cu Pb
8 6 2
Cartesian
2.076 1.632 4.152
2.076 5.415 0.000
2.076 1.632 0.000
0.000 1.632 2.076
2.076 5.415 4.152
4.152 1.632 6.228
4.152 5.415 6.228
0.000 5.415 2.076
2.077 0.000 2.076
2.076 3.524 6.228
2.076 0.000 6.228
0.000 0.000 4.152
2.076 3.524 2.076
0.000 0.000 0.000
0.000 3.524 0.000
0.000 3.524 4.152
```

***

Entry 7:
A plane-wave DFT calculation with GGA-PBE was carried out for a relaxed CuPd9Pb2 crystal.

Structure (POSCAR):
```
CuPd9Pb2
1.0
-1.802 -2.452 2.702
-2.009 -1.849 -3.017
8.967 -7.860 -1.152
Pd Cu Pb
9 1 2
Cartesian
3.479 -4.855 -2.085
-1.905 -2.150 -0.158
1.035 -4.727 -0.535
6.699 -7.887 0.374
4.122 -7.434 -0.932
0.467 -2.425 1.175
0.364 -2.124 -1.684
6.595 -7.586 -2.485
3.583 -5.156 0.775
0.000 0.000 0.000
2.908 -2.549 -0.374
6.059 -5.311 -0.779
```

***

Entry 8:
A plane-wave DFT calculation with GGA-PBE was carried out for a relaxed CuPdPb crystal.

Structure (POSCAR):
```
CuPdPb
1.0
4.844 0.000 0.000
-2.422 2.411 0.000
0.000 0.000 9.354
Pd Cu Pb
2 2 2
Cartesian
2.422 0.939 0.000
0.000 0.937 4.677
2.422 0.937 5.909
2.422 0.937 3.445
0.000 0.938 7.579
0.000 0.938 1.776
```

***

Computed values of formation energy (unit: meV per atom) for the preceding records, in sequence: 90; 215; -150; -222; 42; -164; -183; -27.
Computed values of magnetic moment (unit: μB per formula unit) for the preceding records, in sequence: 0.00; 0.00; 0.00; 0.00; 0.00; 0.00; 0.00; 0.00.